[1]
4
Lattice="-3.042 -0.831 -1.915 -0.148 -3.291 1.662 -4.308 2.993 5.543" Properties=species:S:1:pos:R:3 comment="NdHoMgGa PBE-GGA relaxed" space_group="P4mm (99)" energy_ha_per_atom=-0.14055 pbc="T T T"
Ga -2.122 -1.694 0.552
Ho -1.453 1.009 1.869
Nd -3.770 2.619 4.851
Mg -4.150 -0.286 3.161

***

[2]
9
Lattice="-2.693 2.212 -4.302 -4.735 -2.211 1.828 -2.129 9.844 6.395" Properties=species:S:1:pos:R:3 comment="PmSm2YBi5 PBE-GGA relaxed" space_group="P4/mmm (123)" energy_ha_per_atom=-0.16347 pbc="T T T"
Bi -0.519 2.398 1.558
Bi -3.432 3.817 4.111
Bi -2.411 6.028 1.047
Bi -3.714 0.000 -1.237
Bi -1.611 7.447 4.837
Sm -4.295 2.687 0.508
Sm -5.262 7.158 3.413
Pm -1.065 4.922 3.197
Y 0.000 0.000 0.000

***

[3]
16
Lattice="-5.514 0.626 -0.327 2.226 -7.073 -3.814 -1.571 -7.278 12.581" Properties=species:S:1:pos:R:3 comment="K2PuCl5 PBE-GGA relaxed" de_polymorph_mev_per_atom=32 space_group="Cmcm (63)" raw_formation_energy_ev_per_atom=-1.94 energy_ha_per_atom=-0.18980 pbc="T T T"
Pu -4.289 -9.649 6.623
Cl -0.466 -4.567 -0.880
Cl -1.502 -9.574 7.014
Cl -4.217 -10.351 4.052
K -3.236 -4.967 -2.185
K -1.040 -6.056 5.953
Cl -3.945 -7.079 5.726
Cl -0.241 -1.512 1.168
Pu -0.570 -4.077 1.817
K -1.623 -8.759 10.625
Cl -4.619 -12.214 7.272
Cl -0.643 -3.375 4.388
Cl -0.915 -6.646 2.714
Cl -3.358 -4.152 1.426
Cl -4.394 -9.158 9.320
K -3.820 -7.670 2.487

***

[4]
5
Lattice="-1.632 -4.033 -3.853 4.094 -3.593 2.027 -3.789 -2.145 3.850" Properties=species:S:1:pos:R:3 comment="CaY3Cl PBE-GGA relaxed" de_polymorph_mev_per_atom=1284 space_group="Pm-3m (221)" raw_formation_energy_ev_per_atom=0.88 energy_ha_per_atom=-0.13861 pbc="T T T"
Y -0.816 -2.017 -1.927
Y 2.047 -1.796 1.014
Ca 0.000 0.000 0.000
Y -1.895 -1.072 1.925
Cl -0.664 -4.885 1.012

***

[5]
10
Lattice="-5.355 -1.646 -4.586 -2.804 -4.531 4.901 -2.055 2.785 1.400" Properties=species:S:1:pos:R:3 comment="Cd2SnPd2 PBE-GGA relaxed" de_polymorph_mev_per_atom=48 space_group="P4/mbm (127)" energy_ha_per_atom=-0.13149 pbc="T T T"
Cd -6.890 -3.531 1.890
Cd -3.648 -1.796 3.197
Cd -3.324 0.138 -0.176
Pd -6.378 -4.340 -0.728
Sn -4.079 -3.089 0.157
Pd -1.780 -1.838 1.043
Pd -3.888 -1.740 -2.246
Pd -4.270 -4.438 2.561
Sn 0.000 0.000 0.000
Cd -6.565 -1.596 -1.483

***

[6]
80
Lattice="10.701 0.000 0.000 -3.567 10.089 0.000 -3.567 -5.045 8.738" Properties=species:S:1:pos:R:3 comment="Ca3Mg5H12 PBE-GGA relaxed" space_group="Ia-3d (230)" energy_ha_per_atom=-0.10799 pbc="T T T"
Mg 4.459 -3.153 7.645
H 0.471 6.295 5.889
H 1.683 6.724 3.591
Ca -0.892 4.414 5.461
Mg 1.784 2.522 4.369
H -0.428 3.739 0.778
Ca -4.459 5.045 6.553
H -1.884 2.270 5.488
Ca 0.892 -0.631 3.277
H 1.884 -1.679 5.147
H 4.366 -0.802 5.111
Ca 8.026 0.000 2.184
H -1.356 0.021 7.218
Ca 4.459 0.631 3.277
H 1.356 -1.306 7.960
H 1.312 3.794 5.889
H 2.211 6.351 0.778
H 3.467 1.679 5.147
H -3.467 3.950 8.396
H 2.582 4.243 3.627
H 5.822 -0.681 1.861
H -0.985 -2.740 6.230
H -1.884 -3.950 8.396
H -3.995 -0.021 7.218
Mg -1.784 -2.522 4.369
H 7.234 -2.270 5.488
H 5.451 8.994 0.341
Mg 0.892 3.153 7.645
Mg 4.459 2.522 6.553
H -0.428 6.371 0.742
Mg 0.000 0.000 0.000
H 2.211 3.718 0.742
H 2.255 1.251 2.849
Mg 2.675 1.892 1.092
Mg -2.675 5.675 3.277
H 3.995 -1.327 7.995
H -0.985 3.542 7.619
H -3.096 4.475 4.710
Mg -0.892 0.631 5.461
H 4.879 5.615 4.710
Ca 6.242 6.936 1.092
Mg 3.567 -2.522 4.369
H 0.100 3.365 3.591
Ca -2.675 -1.892 7.645
Mg -0.892 2.522 2.184
H -0.471 0.681 1.861
Mg 3.567 5.045 0.000
Mg 6.242 -0.631 5.461
H 3.995 1.306 7.960
Mg 2.675 7.567 2.184
H 4.039 4.364 6.876
H 7.562 5.065 1.520
Mg -3.567 2.522 4.369
H 4.552 7.785 2.508
H 4.923 5.024 1.520
Mg -1.784 5.045 0.000
Ca 2.675 0.000 6.553
Mg 0.892 -2.522 6.553
Mg 4.459 4.414 3.277
H 7.034 1.095 0.341
H 7.933 2.305 2.508
H 4.552 1.503 1.119
Mg -0.892 8.198 1.092
H 6.336 -3.542 7.619
H 6.663 0.570 4.028
Ca 2.675 5.675 5.461
H 5.451 2.774 3.250
H 1.356 1.327 7.995
H -4.366 2.740 6.230
H 0.985 0.802 5.111
Ca 6.242 3.153 1.092
Mg 5.351 0.000 0.000
Ca -2.675 1.892 7.645
H -3.667 7.315 3.250
H -2.768 8.586 1.119
H -0.799 5.846 3.627
H 3.096 -1.251 2.849
H -1.312 -0.570 4.028
Ca 0.892 5.045 2.184
H -2.255 5.725 6.876

***

What did the fifth record say?
10
Lattice="-5.355 -1.646 -4.586 -2.804 -4.531 4.901 -2.055 2.785 1.400" Properties=species:S:1:pos:R:3 comment="Cd2SnPd2 PBE-GGA relaxed" de_polymorph_mev_per_atom=48 space_group="P4/mbm (127)" energy_ha_per_atom=-0.13149 pbc="T T T"
Cd -6.890 -3.531 1.890
Cd -3.648 -1.796 3.197
Cd -3.324 0.138 -0.176
Pd -6.378 -4.340 -0.728
Sn -4.079 -3.089 0.157
Pd -1.780 -1.838 1.043
Pd -3.888 -1.740 -2.246
Pd -4.270 -4.438 2.561
Sn 0.000 0.000 0.000
Cd -6.565 -1.596 -1.483